PmErTm5: optimized geometry, PBE-GGA.

Cell lengths 6.6650, 6.6650, 13.5334 Å; angles 61.65, 61.65, 60.58 degrees
Closest atoms and distances in Å follow each position.
Fractional coordinates of all 14 atoms:
Tm (0.6457, 0.6962, 0.5006)  4 Tm 3.26-3.54, 1 Pm 3.28
Tm (0.6962, 0.6457, 0.0006)  4 Tm 3.26-3.54, 1 Pm 3.28
Tm (0.8327, 0.6100, 0.2488)  2 Tm 2.97-3.26, 1 Er 3.21
Tm (0.1673, 0.3900, 0.7512)  2 Tm 2.97-3.26, 1 Er 3.21
Tm (0.8396, 0.1604, 0.2500)  1 Pm 2.94, 2 Tm 2.97
Tm (0.6100, 0.8327, 0.7488)  2 Tm 2.97-3.26, 1 Er 3.21
Tm (0.3900, 0.1673, 0.2512)  2 Tm 2.97-3.26, 1 Er 3.21
Tm (0.3543, 0.3038, 0.4994)  4 Tm 3.26-3.54, 1 Pm 3.28
Tm (0.3038, 0.3543, 0.9994)  4 Tm 3.26-3.54, 1 Pm 3.28
Tm (0.1604, 0.8396, 0.7500)  1 Pm 2.94, 2 Tm 2.97
Pm (0.7235, 0.2765, 0.7500)  3 Tm 2.94-3.28
Pm (0.2765, 0.7235, 0.2500)  3 Tm 2.94-3.28
Er (0.0000, 0.0000, 0.5000)  4 Tm 3.21-3.55
Er (0.0000, 0.0000, 0.0000)  4 Tm 3.21-3.55

Computed properties:
magnetic moment: 0.0 μB/cell
energy of formation from the pure elements: 138 kJ/mol of formula units
space-group type: C2/c (15)